Compound: Sr2Al6Rh
Source: Alexandria via LeMat-Bulk
Functional: PBE-GGA
Structure: relaxed

abc: 6.047 6.047 6.008
angles: 90.00 90.00 120.00
Fractional positions:
Sr (0.333, 0.667, 0.347)
Sr (0.667, 0.333, 0.653)
Al (0.165, 0.330, 0.824)
Al (0.165, 0.835, 0.824)
Al (0.330, 0.165, 0.176)
Al (0.670, 0.835, 0.824)
Al (0.835, 0.165, 0.176)
Al (0.835, 0.670, 0.176)
Rh (0.000, 0.000, 0.500)

Calculated formation energy = -0.35 eV per atom

---

Compound: BiSe2I
Source: Alexandria via LeMat-Bulk
Functional: PBE-GGA
Structure: relaxed

abc: 10.105 10.105 10.105
angles: 21.63 21.63 21.63
Fractional positions:
Bi (0.000, 0.000, 0.000)
Se (0.094, 0.094, 0.094)
Se (0.906, 0.906, 0.906)
I (0.500, 0.500, 0.500)

E_form (uncorrected) = 1.9 eV per formula unit
E above lowest polymorph = 650.9 meV per atom

---

Compound: YScReSn2
Source: Alexandria via LeMat-Bulk
Functional: PBE-GGA
Structure: relaxed

abc: 5.181 5.181 5.342
angles: 90.00 90.00 90.00
Fractional positions:
Y (0.000, 0.000, 0.000)
Sc (0.500, 0.500, 0.000)
Re (0.000, 0.000, 0.500)
Sn (0.000, 0.500, 0.500)
Sn (0.500, 0.000, 0.500)

Calculated formation energy = 0.38 eV per atom

---

Compound: Cr2CuSi
Source: Alexandria via LeMat-Bulk
Functional: PBE-GGA
Structure: relaxed

abc: 2.550 4.020 4.627
angles: 90.00 96.01 90.00
Fractional positions:
Cr (0.000, 0.000, 0.000)
Cr (0.166, 0.500, 0.745)
Cu (0.587, 0.500, 0.244)
Si (0.569, 0.000, 0.507)

E_form (uncorrected) = -0.1 eV per formula unit

---

Compound: CdBiBPd2
Source: Alexandria via LeMat-Bulk
Functional: PBE-GGA
Structure: relaxed

abc: 5.132 5.132 5.543
angles: 90.00 90.00 90.00
Fractional positions:
Cd (0.000, 0.000, 0.000)
Bi (0.000, 0.000, 0.500)
B (0.500, 0.500, 0.000)
Pd (0.000, 0.500, 0.500)
Pd (0.500, 0.000, 0.500)

Calculated formation energy = 1.48 eV per atom

---

Compound: ReTc2Pt
Source: Alexandria via LeMat-Bulk
Functional: PBE-GGA
Structure: relaxed

abc: 3.273 3.273 5.653
angles: 90.00 90.00 90.00
Fractional positions:
Re (0.000, 0.000, 0.000)
Tc (0.500, 0.500, 0.241)
Tc (0.500, 0.500, 0.759)
Pt (0.000, 0.000, 0.500)

E above lowest polymorph = 274.1 meV per atom
Calculated formation energy = 0.17 eV per atom

---

Compound: Tb4Pd2O
Source: Alexandria via LeMat-Bulk
Functional: PBE-GGA
Structure: relaxed

abc: 7.991 7.991 7.991
angles: 146.10 146.10 48.70
Fractional positions:
Tb (0.000, 0.500, 0.500)
Tb (0.183, 0.183, 0.000)
Tb (0.500, 0.000, 0.500)
Tb (0.817, 0.817, 0.000)
Pd (0.371, 0.371, 0.000)
Pd (0.629, 0.629, 0.000)
O (0.000, 0.000, 0.000)

E_form (uncorrected) = -8.9 eV per formula unit

---

Compound: InWBr2
Source: Alexandria via LeMat-Bulk
Functional: PBE-GGA
Structure: relaxed

abc: 9.520 9.520 9.520
angles: 20.67 20.67 20.67
Fractional positions:
In (0.000, 0.000, 0.000)
W (0.743, 0.743, 0.743)
Br (0.259, 0.259, 0.259)
Br (0.469, 0.469, 0.469)

E_form (uncorrected) = 0.7 eV per formula unit
E above lowest polymorph = 45.4 meV per atom

---

no.,E_tot (eV per atom),total magnetic moment (μB per cell)
1,-4.039,0.0
2,-2.631,0.0
3,-6.272,0.0
4,-7.208,0.0
5,-2.896,0.0
6,-9.635,0.0
7,-6.110,0.0
8,-4.592,0.5